A plane-wave DFT calculation with PBE+U was carried out for a relaxed structure of Be2WF2.

Summary:
E above lowest polymorph, meV per atom: 0
Final energy, eV per atom: -4.33
Magnetic moment, μB/f.u.: 1.895

Cell lengths 7.1019, 7.1019, 2.6982 Å; angles 90.00, 90.00, 90.00 degrees
Closest atoms and distances in Å follow each position.
Space group P4/mbm (No. 127)
Inequivalent atoms, fractional coordinates:
1 Be 0.2020 0.2980 0.0000  2 F 1.59
2 W 0.0000 0.0000 0.5000  2 W 2.70, 4 F 2.83, 8 Be 2.89
3 F 0.1191 0.3809 0.5000  2 Be 1.59